Record 1
Entry from Alexandria: La6Pr5Dy after structural relaxation (GGA-PBE).

Uncorrected energy = -4.829 eV per atom
SG = C2/m
Energy of formation from the pure elements = 0.12 eV/f.u.

Cell lengths 6.4416, 8.2805, 8.2805 Å; angles 84.49, 97.33, 97.33 degrees
Fractional positions:
La 0.7531 0.2486 0.2486
Pr 0.5000 0.8346 0.1654
Pr 0.5000 0.5000 0.5000
Pr 0.0000 0.3315 0.6685
Pr 0.5000 0.1654 0.8346
Pr 0.0000 0.6685 0.3315
La 0.7506 0.9172 0.5850
Dy 0.0000 0.0000 0.0000
La 0.2469 0.7514 0.7514
La 0.2494 0.4150 0.0828
La 0.2494 0.0828 0.4150
La 0.7506 0.5850 0.9172

=====

Record 2
Entry from Alexandria: La2Pr7Dy after structural relaxation (GGA-PBE).

Uncorrected energy = -4.655 eV per atom
SG = Cmmm
Energy of formation from the pure elements = 1.36 eV/f.u.

Cell lengths 3.5362, 15.2842, 15.2842 Å; angles 154.02, 90.00, 90.00 degrees
Fractional positions:
Pr 0.5000 0.8550 0.6586
Pr 0.5000 0.3414 0.1450
Dy 0.0000 0.0000 0.0000
Pr 0.5000 0.5000 0.5000
La 0.5000 0.7037 0.2963
Pr 0.5000 0.6586 0.8550
Pr 0.5000 0.1450 0.3414
La 0.5000 0.2963 0.7037
Pr 0.0000 0.1892 0.8108
Pr 0.0000 0.8108 0.1892

=====

Record 3
Entry from Alexandria: La6Pr12Dy after structural relaxation (GGA-PBE).

Uncorrected energy = -4.651 eV per atom
SG = R-3m
Energy of formation from the pure elements = 3.16 eV/f.u.

Cell lengths 9.0642, 9.0642, 9.0642 Å; angles 99.92, 99.92, 99.92 degrees
Fractional positions:
La 0.6435 0.9142 0.6435
La 0.9142 0.6435 0.6435
Pr 0.0924 0.0924 0.6643
Pr 0.7576 0.5000 0.2424
La 0.3565 0.3565 0.0858
Dy 0.0000 0.0000 0.0000
Pr 0.2424 0.5000 0.7576
Pr 0.3357 0.9076 0.9076
Pr 0.5000 0.2424 0.7576
La 0.3565 0.0858 0.3565
Pr 0.7576 0.2424 0.5000
Pr 0.0924 0.6643 0.0924
Pr 0.2424 0.7576 0.5000
Pr 0.9076 0.3357 0.9076
La 0.6435 0.6435 0.9142
Pr 0.9076 0.9076 0.3357
La 0.0858 0.3565 0.3565
Pr 0.6643 0.0924 0.0924
Pr 0.5000 0.7576 0.2424

=====

Record 4
Entry from Alexandria: LaPr6Dy8 after structural relaxation (GGA-PBE).

Uncorrected energy = -4.571 eV per atom
SG = R-3
Energy of formation from the pure elements = 1.86 eV/f.u.

Cell lengths 9.1665, 9.1665, 8.8137 Å; angles 58.67, 58.67, 60.00 degrees
Fractional positions:
La 0.0000 0.0000 0.0000
Dy 0.2484 0.8870 0.5776
Dy 0.5769 0.5769 0.2694
Pr 0.7692 0.8997 0.8670
Pr 0.1003 0.5359 0.1330
Pr 0.4641 0.7692 0.8670
Dy 0.7516 0.1130 0.4224
Dy 0.1130 0.7130 0.4224
Dy 0.8870 0.2870 0.5776
Pr 0.8997 0.4641 0.8670
Pr 0.5359 0.2308 0.1330
Dy 0.4231 0.4231 0.7306
Dy 0.2870 0.2484 0.5776
Dy 0.7130 0.7516 0.4224
Pr 0.2308 0.1003 0.1330

=====

Record 5
Entry from Alexandria: La2Pr3Dy6 after structural relaxation (GGA-PBE).

Uncorrected energy = -4.526 eV per atom
SG = C2/m
Energy of formation from the pure elements = 2.01 eV/f.u.

Cell lengths 6.2237, 6.2330, 11.8382 Å; angles 84.97, 79.88, 60.05 degrees
Fractional positions:
Dy 0.5839 0.3330 0.2492
Pr 0.6642 0.6715 0.0000
Dy 0.2509 0.0000 0.2488
La 0.1670 0.6660 0.5000
Pr 0.3358 0.3285 0.0000
Dy 0.0832 0.3330 0.7508
Pr 0.0000 0.0000 0.0000
Dy 0.4161 0.6670 0.7508
La 0.8330 0.3340 0.5000
Dy 0.9168 0.6670 0.2492
Dy 0.7491 0.0000 0.7512

=====

Record 6
Entry from Alexandria: La2Pr3Dy2 after structural relaxation (GGA-PBE).

Uncorrected energy = -4.657 eV per atom
SG = C2/m
Energy of formation from the pure elements = 0.80 eV/f.u.

Cell lengths 3.5866, 8.7500, 9.1902 Å; angles 118.25, 101.25, 90.00 degrees
Fractional positions:
Pr 0.0000 0.5000 0.0000
La 0.5638 0.9122 0.1276
Pr 0.2135 0.7947 0.4269
Dy 0.8501 0.6621 0.7002
La 0.4362 0.0878 0.8724
Pr 0.7865 0.2053 0.5731
Dy 0.1499 0.3379 0.2998